## Nb7Sb2H2S (GGA-PBE)

Data for a relaxed structure of Nb7Sb2H2S.

POSCAR file:
```
Nb7Sb2H2S
1.0
4.250 -0.006 0.019
-0.001 4.250 0.019
2.117 2.115 10.840
S Nb H Sb
1 7 2 2
Cartesian
0.000 0.000 0.000 S
2.124 2.122 0.019 Nb
4.250 2.123 8.904 Nb
2.128 4.247 8.904 Nb
4.237 2.111 1.973 Nb
4.261 4.256 6.867 Nb
2.105 2.102 4.011 Nb
2.116 4.235 1.973 Nb
4.250 4.245 8.870 H
2.116 2.113 2.007 H
4.231 4.226 4.022 Sb
2.135 2.132 6.856 Sb
```

space group: C2/m
DOS at the Fermi energy: 0.7592 states/eV per atom
M_tot: 0.00 μB/f.u.
volume: 16.29 Å³ per atom
total energy: -7.541 eV per atom

---

## NbSiH2S (GGA-PBE)

Data for a relaxed structure of NbSiH2S.

POSCAR file:
```
NbSiH2S
1.0
-2.689 -0.701 -2.074
2.223 -4.863 -1.237
-1.680 -1.446 2.667
H Nb Si S
2 1 1 1
Cartesian
-1.344 -0.351 -1.037 H
-0.840 -0.723 1.333 H
-1.073 -3.505 -0.323 Nb
0.000 0.000 0.000 Si
1.111 -2.432 -0.619 S
```

space group: P4/mmm
DOS at the Fermi energy: 0.6051 states/eV per atom
M_tot: 1.31 μB/f.u.
volume: 13.20 Å³ per atom
total energy: -4.881 eV per atom

---

## NbTeHS (GGA-PBE)

Data for a relaxed structure of NbTeHS.

POSCAR file:
```
NbTeHS
1.0
3.262 0.013 -0.002
1.619 2.831 -0.003
0.026 0.141 8.164
Nb S H Te
1 1 1 1
Cartesian
2.972 1.794 0.150 Nb
1.369 0.987 6.716 S
4.599 2.742 0.789 H
2.973 1.796 3.043 Te
```

space group: P1
DOS at the Fermi energy: 0.5714 states/eV per atom
M_tot: 0.00 μB/f.u.
volume: 18.80 Å³ per atom
total energy: -5.638 eV per atom

---

## NbTeHS (GGA-PBE)

Data for a relaxed structure of NbTeHS.

POSCAR file:
```
NbTeHS
1.0
-2.838 -0.308 2.174
-2.005 -2.974 -0.079
4.212 -3.056 5.198
S Nb H Te
1 1 1 1
Cartesian
2.726 -3.220 5.971 S
-2.279 -1.837 2.461 Nb
1.928 -2.648 4.995 H
0.428 -1.515 3.080 Te
```

space group: P1
M_tot: 0.00 μB/f.u.
volume: 20.50 Å³ per atom
total energy: -5.666 eV per atom

---

## NbTeHS (GGA-PBE)

Data for a relaxed structure of NbTeHS.

POSCAR file:
```
NbTeHS
1.0
-1.860 1.222 -2.372
-2.782 -1.118 1.606
-0.376 6.358 3.630
S Nb Te H
1 1 1 1
Cartesian
-3.069 2.957 1.701 S
-0.677 1.931 1.527 Nb
-1.929 -0.565 1.223 Te
-1.548 1.709 -0.135 H
```

space group: P1
DOS at the Fermi energy: 0.4606 states/eV per atom
M_tot: 0.00 μB/f.u.
volume: 20.28 Å³ per atom
total energy: -5.674 eV per atom

---

## NbTeHS (GGA-PBE)

Data for a relaxed structure of NbTeHS.

POSCAR file:
```
NbTeHS
1.0
-2.996 0.958 -1.493
-1.066 -1.562 -2.924
-5.124 -3.779 3.838
S Nb Te H
1 1 1 1
Cartesian
-4.020 -0.508 -1.036 S
-3.139 -2.729 -0.171 Nb
-5.774 -2.955 0.910 Te
-4.576 -3.046 -1.551 H
```

space group: P1
DOS at the Fermi energy: 0.0000 states/eV per atom
M_tot: 0.00 μB/f.u.
volume: 18.82 Å³ per atom
total energy: -5.824 eV per atom

---

## NbTeHS (GGA-PBE)

Data for a relaxed structure of NbTeHS.

POSCAR file:
```
NbTeHS
1.0
3.676 0.000 0.000
-1.838 3.183 0.000
0.000 0.000 19.727
Te S H Nb
3 3 3 3
Cartesian
1.838 1.061 17.900 Te
0.000 2.122 4.748 Te
0.000 0.000 11.324 Te
1.838 1.061 1.490 S
0.000 0.000 14.641 S
0.000 2.122 8.066 S
0.000 2.122 17.964 H
0.000 0.000 4.812 H
1.838 1.061 11.388 H
0.000 0.000 6.624 Nb
1.838 1.061 13.200 Nb
0.000 2.122 0.049 Nb
```

space group: R3m
M_tot: 0.00 μB/f.u.
volume: 19.24 Å³ per atom
total energy: -5.530 eV per atom

---

## NbTeHS (GGA-PBE)

Data for a relaxed structure of NbTeHS.

POSCAR file:
```
NbTeHS
1.0
3.254 0.000 0.002
0.000 3.402 0.000
-0.089 0.000 13.838
S H Te Nb
2 2 2 2
Cartesian
1.053 0.000 12.736 S
1.098 1.701 5.817 S
1.141 1.701 0.985 H
1.096 0.000 7.904 H
2.767 0.000 2.258 Te
2.723 1.701 9.177 Te
2.769 1.701 0.024 Nb
2.724 0.000 6.943 Nb
```

space group: Cm
DOS at the Fermi energy: 0.4680 states/eV per atom
M_tot: 0.00 μB/f.u.
volume: 19.15 Å³ per atom
total energy: -5.675 eV per atom

---

## NbTeHS (GGA-PBE)

Data for a relaxed structure of NbTeHS.

POSCAR file:
```
NbTeHS
1.0
-1.157 -0.265 -3.037
3.206 -0.245 0.551
-2.494 -7.741 1.629
Te S H Nb
1 1 1 1
Cartesian
-0.179 -5.016 0.612 Te
0.426 -1.718 -1.659 S
-3.304 -7.253 -1.502 H
-0.458 -7.874 0.969 Nb
```

space group: Cm
DOS at the Fermi energy: 0.5646 states/eV per atom
M_tot: 0.00 μB/f.u.
volume: 18.63 Å³ per atom
total energy: -5.638 eV per atom

---

## NbTeHS (GGA-PBE)

Data for a relaxed structure of NbTeHS.

POSCAR file:
```
NbTeHS
1.0
3.193 0.000 0.000
0.000 3.408 0.000
-0.026 0.000 13.529
Te H Nb S
2 2 2 2
Cartesian
1.933 0.000 10.255 Te
1.946 1.704 3.491 Te
2.647 0.000 13.112 H
2.660 1.704 6.348 H
2.705 1.704 8.120 Nb
2.718 0.000 1.356 Nb
1.137 1.704 0.222 S
1.124 0.000 6.986 S
```

space group: Cm
DOS at the Fermi energy: 0.2862 states/eV per atom
M_tot: 0.00 μB/f.u.
volume: 18.40 Å³ per atom
total energy: -5.471 eV per atom

---

## NbTeHS (GGA-PBE)

Data for a relaxed structure of NbTeHS.

POSCAR file:
```
NbTeHS
1.0
3.482 0.000 -0.026
0.000 3.371 0.000
-0.903 0.000 13.354
H Te Nb S
2 2 2 2
Cartesian
1.683 1.686 8.624 H
2.134 0.000 1.947 H
0.297 0.000 2.735 Te
-0.155 1.686 9.412 Te
0.236 1.686 4.911 Nb
-0.215 0.000 11.588 Nb
1.533 1.686 12.480 S
1.984 0.000 5.803 S
```

space group: Cm
DOS at the Fermi energy: 0.3568 states/eV per atom
M_tot: 0.00 μB/f.u.
volume: 19.59 Å³ per atom
total energy: -5.364 eV per atom

---

## NbTeHS (GGA-PBE)

Data for a relaxed structure of NbTeHS.

POSCAR file:
```
NbTeHS
1.0
-4.732 4.262 1.089
-2.187 -2.024 -1.583
2.345 -6.536 5.117
Nb H Te S
2 2 2 2
Cartesian
-2.535 -1.706 5.686 Nb
-4.802 0.550 2.336 Nb
0.374 -2.050 2.105 H
0.454 -6.330 3.872 H
-2.226 1.241 1.490 Te
-2.147 -3.039 3.257 Te
-0.942 -1.756 -0.050 S
1.324 -4.012 3.300 S
```

space group: Cm
DOS at the Fermi energy: 0.1138 states/eV per atom
M_tot: 0.00 μB/f.u.
volume: 18.82 Å³ per atom
total energy: -5.575 eV per atom

---

## NbTeHS (GGA-PBE)

Data for a relaxed structure of NbTeHS.

POSCAR file:
```
NbTeHS
1.0
-4.345 4.876 -0.493
-0.017 -0.421 -4.012
-4.080 -4.390 0.477
H Nb Te S
2 2 2 2
Cartesian
-6.471 0.347 -0.010 H
-4.439 2.332 -2.254 H
-3.909 -4.124 0.449 Nb
-1.877 -2.139 -1.796 Nb
-4.142 2.333 -0.228 Te
-6.190 -0.072 -1.995 Te
-3.393 -1.709 0.193 S
-1.361 0.275 -2.051 S
```

space group: Cm
DOS at the Fermi energy: 0.3086 states/eV per atom
M_tot: 0.00 μB/f.u.
volume: 19.76 Å³ per atom
total energy: -5.439 eV per atom

---

## NbTeHS (GGA-PBE)

Data for a relaxed structure of NbTeHS.

POSCAR file:
```
NbTeHS
1.0
3.529 0.000 0.000
0.000 4.082 0.000
0.000 0.000 6.871
H S Nb Te
1 1 1 1
Cartesian
0.000 2.041 6.696 H
1.764 0.000 6.151 S
1.764 2.041 0.458 Nb
0.000 2.041 2.580 Te
```

space group: Pmm2
DOS at the Fermi energy: 0.0527 states/eV per atom
M_tot: 0.00 μB/f.u.
volume: 24.74 Å³ per atom
total energy: -5.499 eV per atom

---

## NbTeHS (GGA-PBE)

Data for a relaxed structure of NbTeHS.

POSCAR file:
```
NbTeHS
1.0
3.726 0.000 0.000
1.862 3.226 0.000
0.023 0.000 6.674
Te H S Nb
1 1 1 1
Cartesian
0.989 1.033 3.339 Te
4.737 3.184 6.336 H
2.851 2.108 0.182 S
4.714 3.184 1.408 Nb
```

space group: Cm
M_tot: 0.00 μB/f.u.
volume: 20.06 Å³ per atom
total energy: -5.515 eV per atom

---

## NbTeHS (GGA-PBE)

Data for a relaxed structure of NbTeHS.

POSCAR file:
```
NbTeHS
1.0
3.585 0.000 0.001
1.792 3.104 0.002
1.742 -0.897 7.070
Nb S Te H
1 1 1 1
Cartesian
5.636 2.654 3.079 Nb
2.051 0.584 4.482 S
2.051 0.586 1.192 Te
5.639 0.573 5.859 H
```

space group: P1
M_tot: 0.00 μB/f.u.
volume: 19.67 Å³ per atom
total energy: -5.663 eV per atom

---

## NbTeHS (GGA-PBE)

Data for a relaxed structure of NbTeHS.

POSCAR file:
```
NbTeHS
1.0
3.481 0.000 0.000
1.740 3.014 -0.004
0.001 2.037 7.039
S Te Nb H
1 1 1 1
Cartesian
1.856 2.780 3.443 S
1.857 2.783 7.032 Te
3.597 1.777 5.000 Nb
3.597 3.786 5.172 H
```

space group: Cm
M_tot: 0.00 μB/f.u.
volume: 18.47 Å³ per atom
total energy: -5.825 eV per atom

---

## NbTeHS (GGA-PBE)

Data for a relaxed structure of NbTeHS.

POSCAR file:
```
NbTeHS
1.0
-0.915 6.018 4.366
-2.119 -1.914 2.194
4.878 -2.863 2.214
S H Nb Te
2 2 2 2
Cartesian
2.162 1.069 3.020 S
-1.337 1.543 3.010 S
2.431 -0.405 4.950 H
1.051 1.983 2.745 H
0.278 1.016 1.154 Nb
1.657 -1.372 3.359 Nb
0.812 4.732 4.911 Te
2.192 2.343 7.116 Te
```

space group: Cm
M_tot: 0.00 μB/f.u.
volume: 19.76 Å³ per atom
total energy: -5.588 eV per atom

---

## ZrNb2HS (GGA-PBE)

Data for a relaxed structure of ZrNb2HS.

POSCAR file:
```
ZrNb2HS
1.0
-3.198 -2.990 -2.219
2.546 -1.778 -1.273
-0.042 -2.896 3.963
Nb H S Zr
2 1 1 1
Cartesian
-0.021 -1.448 1.981 Nb
-1.599 -1.495 -1.110 Nb
1.273 -0.889 -0.637 H
0.000 0.000 0.000 S
-0.347 -3.833 0.235 Zr
```

space group: P4/mmm
DOS at the Fermi energy: 0.8647 states/eV per atom
M_tot: 0.00 μB/f.u.
volume: 16.18 Å³ per atom
total energy: -6.971 eV per atom

---

## NbSb3H (GGA-PBE)

Data for a relaxed structure of NbSb3H.

POSCAR file:
```
NbSb3H
1.0
5.312 0.000 0.000
0.000 5.312 0.000
0.000 0.000 5.312
Sb Nb H
3 1 1
Cartesian
0.000 0.000 2.656 Sb
2.656 0.000 0.000 Sb
0.000 2.656 0.000 Sb
0.000 0.000 0.000 Nb
2.656 2.656 2.656 H
```

space group: Pm-3m
DOS at the Fermi energy: 0.6800 states/eV per atom
M_tot: 0.00 μB/f.u.
volume: 29.98 Å³ per atom
total energy: -4.454 eV per atom